The following is a DFT calculation (GGA-PBE) of a geometry-optimized NdAl2Zn2 structure.

Output
V: 22.044 Å³ per atom
VASP energy: -3.08 eV/atom
Space group: P-3m1, No. 164

Cell lengths 4.253, 4.253, 7.035 Å; angles 90.00, 90.00, 120.00 degrees
Element x y z (fractional)
1 Nd 0.000 0.000 0.000
2 Al 0.333 0.667 0.632
3 Al 0.667 0.333 0.368
4 Zn 0.333 0.667 0.265
5 Zn 0.667 0.333 0.735


The following is a DFT calculation (GGA-PBE) of a geometry-optimized NdAlZn2 structure.

Output
V: 20.889 Å³ per atom
VASP energy: -3.07 eV/atom
Space group: R-3m, No. 166

Cell lengths 5.682, 5.682, 5.682 Å; angles 45.03, 45.03, 45.03 degrees
Element x y z (fractional)
1 Nd 0.000 0.000 0.000
2 Al 0.500 0.500 0.500
3 Zn 0.214 0.214 0.214
4 Zn 0.786 0.786 0.786


The following is a DFT calculation (GGA-PBE) of a geometry-optimized NdAl4Zn12 structure.

Output
V: 20.137 Å³ per atom
VASP energy: -1.85 eV/atom
Space group: Im-3, No. 204

Cell lengths 7.633, 7.633, 7.633 Å; angles 109.47, 109.47, 109.47 degrees
Element x y z (fractional)
1 Nd 0.000 0.000 0.000
2 Al 0.000 0.000 0.500
3 Al 0.000 0.500 0.000
4 Al 0.500 0.000 0.000
5 Al 0.500 0.500 0.500
6 Zn 0.148 0.355 0.504
7 Zn 0.148 0.645 0.793
8 Zn 0.207 0.852 0.355
9 Zn 0.355 0.207 0.852
10 Zn 0.355 0.504 0.148
11 Zn 0.496 0.852 0.645
12 Zn 0.504 0.148 0.355
13 Zn 0.645 0.496 0.852
14 Zn 0.645 0.793 0.148
15 Zn 0.793 0.148 0.645
16 Zn 0.852 0.355 0.207
17 Zn 0.852 0.645 0.496